Record 1
Compound: Tb3PmEr3Se8
Source: the Alexandria database
Functional: PBE
Structure: relaxed

Unit cell a=8.122 b=8.122 c=8.122 alpha=59.97 beta=59.97 gamma=59.97
Positions (direct):
1 Tb 0.000 0.500 0.500
2 Tb 0.500 0.000 0.500
3 Tb 0.500 0.500 0.000
4 Pm 0.500 0.500 0.500
5 Er 0.000 0.000 0.500
6 Er 0.000 0.500 0.000
7 Er 0.500 0.000 0.000
8 Se 0.238 0.759 0.759
9 Se 0.241 0.241 0.762
10 Se 0.241 0.762 0.241
11 Se 0.248 0.248 0.248
12 Se 0.752 0.752 0.752
13 Se 0.759 0.238 0.759
14 Se 0.759 0.759 0.238
15 Se 0.762 0.241 0.241

Results
Calculated density ... 7.7 g/cm3
Magnetic moment ... 0.00 μB/f.u.
Formation energy (no corrections) ... -1821.3 meV per atom


Record 2
Compound: BaHfSn2Rh
Source: the Alexandria database
Functional: PBE
Structure: relaxed

Unit cell a=5.469 b=5.469 c=5.935 alpha=90.00 beta=90.00 gamma=90.00
Positions (direct):
1 Ba 0.000 0.000 0.000
2 Hf 0.000 0.000 0.500
3 Sn 0.000 0.500 0.500
4 Sn 0.500 0.000 0.500
5 Rh 0.500 0.500 0.000

Results
Calculated density ... 6.1 g/cm3
Magnetic moment ... 1.67 μB/f.u.
Energy of formation from the pure elements ... 937 meV/atom


> The highest magnetic moment belongs to which entry?

BaHfSn2Rh


> Which of these has the highest magnetic moment?

BaHfSn2Rh


> Which of these has the lowest magnetic moment?

Tb3PmEr3Se8